Record 1
A PBEsol-optimized structure of KYAg2. Source: Alexandria via LeMat-Bulk, functional meta-GGA SCAN.

Cell lengths 3.3623, 5.4365, 5.4365 Å; angles 90.14, 90.00, 90.00 degrees
Closest atoms and distances in Å follow each position.
Fractional positions:
Ag 0.0000 0.5000 0.0000  4 K 3.20, 4 Y 3.20, 2 Ag 3.36
Ag 0.0000 0.0000 0.5000  4 Y 3.20, 4 K 3.20, 2 Ag 3.36
K 0.5000 0.0000 0.0000  8 Ag 3.20, 2 K 3.36
Y 0.5000 0.5000 0.5000  8 Ag 3.20, 2 Y 3.36

Properties
D(E_F) ... 0.697 states/eV per atom
Symmetry ... No. 65
Formation enthalpy at 0 K ... -0.006 eV per atom
Raw total energy ... -24.732 eV per atom
Theoretical density ... 5.74 g/cm3

=====

Record 2
A PBEsol-optimized structure of KYAg2. Source: Alexandria via LeMat-Bulk, functional meta-GGA SCAN.

Cell lengths 3.2586, 5.4762, 5.9661 Å; angles 104.74, 105.85, 90.00 degrees
Closest atoms and distances in Å follow each position.
Fractional positions:
Ag 0.0255 0.9680 0.0511  2 Ag 2.89, 3 Y 3.19-3.21, 4 K 3.23
Ag 0.7179 0.2696 0.4358  2 Ag 2.89, 1 K 3.13, 2 Y 3.17
K 0.4784 0.4411 0.9567  7 Ag 3.13-3.32, 2 K 3.26, 1 Y 3.49
Y 0.2782 0.8214 0.5564  7 Ag 3.17-3.34, 2 Y 3.26, 1 K 3.49

Properties
D(E_F) ... 0.590 states/eV per atom
Symmetry ... No. 8
Formation enthalpy at 0 K ... 0.067 eV per atom
Raw total energy ... -24.659 eV per atom
Theoretical density ... 5.78 g/cm3

=====

Record 3
A PBEsol-optimized structure of KYAg2. Source: Alexandria via LeMat-Bulk, functional meta-GGA SCAN.

Cell lengths 4.4422, 4.4422, 5.8100 Å; angles 112.48, 112.48, 90.00 degrees
Closest atoms and distances in Å follow each position.
Fractional positions:
Ag 0.0000 0.0000 0.0000  4 K 3.14, 4 Y 3.30, 4 Ag 3.30
Ag 0.7500 0.2500 0.5000  4 Y 3.14, 4 K 3.30, 4 Ag 3.30
K 0.5000 0.5000 0.0000  8 Ag 3.14-3.30, 4 Y 3.30
Y 0.2500 0.7500 0.5000  8 Ag 3.14-3.30, 4 K 3.30

Properties
D(E_F) ... 0.663 states/eV per atom
Symmetry ... No. 119
Formation enthalpy at 0 K ... 0.210 eV per atom
Raw total energy ... -24.516 eV per atom
Theoretical density ... 5.92 g/cm3

=====

Record 4
A PBEsol-optimized structure of KYAg2. Source: Alexandria via LeMat-Bulk, functional meta-GGA SCAN.

Cell lengths 3.7162, 3.9537, 9.1099 Å; angles 100.14, 90.00, 118.03 degrees
Closest atoms and distances in Å follow each position.
Fractional positions:
Ag 0.7632 0.5264 0.7869  3 Y 2.93-2.95
Ag 0.2368 0.4736 0.2131  3 Y 2.93-2.95
K 0.0000 0.0000 0.5000  6 Ag 3.36-3.43, 2 K 3.72
Y 0.5000 0.0000 0.0000  6 Ag 2.93-2.95

Properties
D(E_F) ... 0.619 states/eV per atom
Symmetry ... No. 12
Formation enthalpy at 0 K ... 0.074 eV per atom
Raw total energy ... -24.652 eV per atom
Theoretical density ... 4.93 g/cm3

=====

Record 5
A PBEsol-optimized structure of KZn2Ag2. Source: Alexandria via LeMat-Bulk, functional meta-GGA SCAN.

Cell lengths 2.7623, 8.2195, 8.2195 Å; angles 90.00, 90.00, 90.00 degrees
Closest atoms and distances in Å follow each position.
Fractional positions:
Zn 0.5000 0.1188 0.6188  3 Zn 2.76, 6 Ag 2.79-2.80
Zn 0.5000 0.6188 0.8812  3 Zn 2.76, 6 Ag 2.79-2.80
Zn 0.5000 0.8812 0.3812  3 Zn 2.76, 6 Ag 2.79-2.80
Zn 0.5000 0.3812 0.1188  3 Zn 2.76, 6 Ag 2.79-2.80
K 0.0000 0.0000 0.0000  2 K 2.76, 4 Ag 3.04
K 0.0000 0.5000 0.5000  2 K 2.76, 4 Ag 3.04
Ag 0.0000 0.3273 0.8273  2 Ag 2.76, 6 Zn 2.79-2.80, 2 K 3.04
Ag 0.0000 0.8273 0.6727  2 Ag 2.76, 6 Zn 2.79-2.80, 2 K 3.04
Ag 0.0000 0.6727 0.1727  2 Ag 2.76, 6 Zn 2.79-2.80, 2 K 3.04
Ag 0.0000 0.1727 0.3273  2 Ag 2.76, 6 Zn 2.79-2.80, 2 K 3.04

Properties
D(E_F) ... 0.264 states/eV per atom
Symmetry ... No. 127
Formation enthalpy at 0 K ... 0.037 eV per atom
Raw total energy ... -19.582 eV per atom
Theoretical density ... 6.86 g/cm3

=====

Record 6
A PBEsol-optimized structure of K2ZnAg. Source: Alexandria via LeMat-Bulk, functional meta-GGA SCAN.

Cell lengths 4.2211, 5.4424, 6.6299 Å; angles 114.24, 108.56, 90.00 degrees
Closest atoms and distances in Å follow each position.
Fractional positions:
Zn 0.4395 0.4392 0.8790  2 Ag 2.56
K 0.0230 0.0229 0.0459  4 K 3.56-3.97, 4 Zn 3.57, 4 Ag 3.62-3.89
K 0.2258 0.7260 0.4517  4 K 3.56-3.97, 4 Ag 3.58, 4 Zn 3.64-3.87
Ag 0.8117 0.3120 0.6234  2 Zn 2.56

Properties
D(E_F) ... 0.450 states/eV per atom
Symmetry ... No. 44
Formation enthalpy at 0 K ... 0.081 eV per atom
Raw total energy ... -15.304 eV per atom
Theoretical density ... 3.21 g/cm3

=====

Record 7
A PBEsol-optimized structure of K2ZnAg. Source: Alexandria via LeMat-Bulk, functional meta-GGA SCAN.

Cell lengths 3.6461, 3.6461, 9.8390 Å; angles 90.00, 90.00, 90.00 degrees
Closest atoms and distances in Å follow each position.
Fractional positions:
Ag 0.5000 0.5000 0.6579  4 Zn 2.66
K 0.0000 0.0000 0.9191  1 Zn 3.22
K 0.5000 0.5000 0.3312  1 Ag 3.21
Zn 0.0000 0.0000 0.5918  4 Ag 2.66

Properties
D(E_F) ... 0.392 states/eV per atom
Symmetry ... No. 99
Formation enthalpy at 0 K ... 0.112 eV per atom
Raw total energy ... -15.273 eV per atom
Theoretical density ... 3.19 g/cm3

=====

Record 8
A PBEsol-optimized structure of KZn2Ag. Source: Alexandria via LeMat-Bulk, functional meta-GGA SCAN.

Cell lengths 4.4824, 4.4564, 6.4774 Å; angles 110.43, 90.00, 120.19 degrees
Closest atoms and distances in Å follow each position.
Fractional positions:
Zn 0.6808 0.3615 0.5427  3 Ag 2.58-2.59, 3 Zn 2.61-2.64
Zn 0.3192 0.6385 0.4573  3 Ag 2.58-2.59, 3 Zn 2.61-2.64
K 0.5000 0.0000 0.0000  2 Zn 3.22
Ag 0.0000 0.0000 0.5000  6 Zn 2.58-2.59

Properties
D(E_F) ... 0.358 states/eV per atom
Symmetry ... No. 12
Formation enthalpy at 0 K ... -0.052 eV per atom
Raw total energy ... -16.733 eV per atom
Theoretical density ... 4.51 g/cm3

=====

Record 9
A PBEsol-optimized structure of KZn2Ag. Source: Alexandria via LeMat-Bulk, functional meta-GGA SCAN.

Cell lengths 2.9355, 5.3825, 6.0287 Å; angles 116.51, 104.09, 90.00 degrees
Closest atoms and distances in Å follow each position.
Fractional positions:
Ag 0.4584 0.4584 0.9167  2 Zn 2.65, 2 Ag 2.94
K 0.2527 0.7527 0.5054  2 K 2.94, 4 Zn 3.07
Zn 0.0432 0.0432 0.0863  2 Zn 2.56
Zn 0.7458 0.2458 0.4915  2 Zn 2.56, 2 Ag 2.65

Properties
D(E_F) ... 0.350 states/eV per atom
Symmetry ... No. 44
Formation enthalpy at 0 K ... 0.235 eV per atom
Raw total energy ... -16.446 eV per atom
Theoretical density ... 5.62 g/cm3

=====

Record 10
A PBEsol-optimized structure of K2ZnAg2. Source: Alexandria via LeMat-Bulk, functional meta-GGA SCAN.

Cell lengths 5.9451, 5.9451, 5.9451 Å; angles 80.55, 65.30, 114.70 degrees
Closest atoms and distances in Å follow each position.
Fractional positions:
Zn 0.0000 0.0000 0.0000  2 Ag 2.53
K 0.5000 0.2500 0.2500  4 Ag 3.26
K 0.5000 0.7500 0.7500  4 Ag 3.26
Ag 0.0000 0.3288 0.6712  1 Zn 2.53, 1 Ag 2.63
Ag 0.0000 0.6712 0.3288  1 Zn 2.53, 1 Ag 2.63

Properties
D(E_F) ... 0.400 states/eV per atom
Symmetry ... No. 139
Formation enthalpy at 0 K ... 0.159 eV per atom
Raw total energy ... -18.423 eV per atom
Theoretical density ... 3.77 g/cm3

=====

Record 11
A PBEsol-optimized structure of KZn2Ag. Source: Alexandria via LeMat-Bulk, functional meta-GGA SCAN.

Cell lengths 2.8705, 3.8220, 7.6376 Å; angles 90.00, 90.00, 90.00 degrees
Closest atoms and distances in Å follow each position.
Fractional positions:
Ag 0.0000 0.0000 0.4235  5 Zn 2.66-2.74, 2 Ag 2.87
K 0.5000 0.5000 0.7531  2 K 2.87
Zn 0.0000 0.0000 0.0748  1 Ag 2.66, 6 Zn 2.73-2.87
Zn 0.5000 0.5000 0.2486  6 Zn 2.73-2.87, 4 Ag 2.74

Properties
D(E_F) ... 0.401 states/eV per atom
Symmetry ... No. 25
Formation enthalpy at 0 K ... 0.142 eV per atom
Raw total energy ... -16.540 eV per atom
Theoretical density ... 5.50 g/cm3

=====

Record 12
A PBEsol-optimized structure of K2ZnAg. Source: Alexandria via LeMat-Bulk, functional meta-GGA SCAN.

Cell lengths 4.6146, 4.8914, 6.5304 Å; angles 111.99, 90.00, 90.00 degrees
Closest atoms and distances in Å follow each position.
Fractional positions:
Zn 0.0000 0.7968 0.5935  2 Ag 2.58
K 0.0000 0.1002 0.2004  3 Zn 3.41-3.67, 4 Ag 3.58
K 0.5000 0.3966 0.7932  3 Ag 3.40-3.69, 4 Zn 3.57
Ag 0.5000 0.7012 0.4024  2 Zn 2.58

Properties
D(E_F) ... 0.406 states/eV per atom
Symmetry ... No. 38
Formation enthalpy at 0 K ... 0.046 eV per atom
Raw total energy ... -15.339 eV per atom
Theoretical density ... 3.06 g/cm3

=====

Record 13
A PBEsol-optimized structure of KZn2Ag. Source: Alexandria via LeMat-Bulk, functional meta-GGA SCAN.

Cell lengths 3.3978, 3.3978, 7.5466 Å; angles 90.00, 90.00, 90.00 degrees
Closest atoms and distances in Å follow each position.
Fractional positions:
Ag 0.5000 0.5000 0.0000  8 Zn 2.74
K 0.5000 0.5000 0.5000  4 K 3.40, 8 Zn 3.44, 2 Ag 3.77
Zn 0.0000 0.0000 0.8268  1 Zn 2.61, 4 Ag 2.74
Zn 0.0000 0.0000 0.1732  1 Zn 2.61, 4 Ag 2.74

Properties
D(E_F) ... 0.294 states/eV per atom
Symmetry ... No. 123
Formation enthalpy at 0 K ... 0.160 eV per atom
Raw total energy ... -16.521 eV per atom
Theoretical density ... 5.29 g/cm3

=====

Record 14
A PBEsol-optimized structure of KZn2Ag2. Source: Alexandria via LeMat-Bulk, functional meta-GGA SCAN.

Cell lengths 4.6234, 4.6234, 6.0954 Å; angles 112.29, 112.29, 90.00 degrees
Closest atoms and distances in Å follow each position.
Fractional positions:
Zn 0.2500 0.7500 0.5000  4 Ag 2.60
Zn 0.7500 0.2500 0.5000  4 Ag 2.60
K 0.0000 0.0000 0.0000  8 Zn 3.46, 10 Ag 3.55-3.77
Ag 0.3667 0.3667 0.7334  4 Zn 2.60, 1 Ag 2.74
Ag 0.6333 0.6333 0.2666  4 Zn 2.60, 1 Ag 2.74

Properties
D(E_F) ... 0.338 states/eV per atom
Symmetry ... No. 139
Formation enthalpy at 0 K ... 0.077 eV per atom
Raw total energy ... -19.542 eV per atom
Theoretical density ... 5.82 g/cm3

=====

Record 15
A PBEsol-optimized structure of KZn2Ag. Source: Alexandria via LeMat-Bulk, functional meta-GGA SCAN.

Cell lengths 2.7632, 5.8081, 5.8081 Å; angles 117.00, 90.00, 90.00 degrees
Closest atoms and distances in Å follow each position.
Fractional positions:
Ag 0.5000 0.0000 0.0000  2 Ag 2.76, 2 K 3.03
K 0.5000 0.5000 0.5000  2 K 2.76, 2 Ag 3.03
Zn 0.0000 0.5000 0.0000  4 Zn 2.76-3.03
Zn 0.0000 0.0000 0.5000  4 Zn 2.76-3.03

Properties
D(E_F) ... 0.333 states/eV per atom
Symmetry ... No. 65
Formation enthalpy at 0 K ... 0.395 eV per atom
Raw total energy ... -16.287 eV per atom
Theoretical density ... 5.55 g/cm3